1.
HoMg4Sc2: optimized geometry, PBE-GGA.

Computed properties:
Space-group type: Cmmm, No. 65

Cell: 5.5233 5.6722 6.5826 Å, 115.52 90.00 90.00°
With the nearest neighbours (Å) after each atom.
Atoms (fractional coordinates):
Ho: 0.0000 0.5000 0.0000  6 Mg 3.14-3.35
Sc: 0.5000 0.1244 0.2488  5 Mg 2.84-2.98, 1 Sc 2.96
Mg: 0.5000 0.6262 0.2523  3 Sc 2.84-2.96, 1 Mg 3.00, 2 Ho 3.14
Mg: 0.0000 0.2177 0.4354  2 Mg 2.94, 2 Sc 2.98
Mg: 0.5000 0.3738 0.7477  3 Sc 2.84-2.96, 1 Mg 3.00, 2 Ho 3.14
Sc: 0.5000 0.8756 0.7512  5 Mg 2.84-2.98, 1 Sc 2.96
Mg: 0.0000 0.7823 0.5646  2 Mg 2.94, 2 Sc 2.98

2.
Ho6MgSc2: optimized geometry, PBE-GGA.

Computed properties:
Space-group type: P4_2/mnm, No. 136

Cell: 4.9108 10.2626 10.2629 Å, 90.00 90.00 90.00°
With the nearest neighbours (Å) after each atom.
Atoms (fractional coordinates):
Ho: 0.0000 0.9987 0.8317  3 Sc 3.39-3.43, 1 Mg 3.40, 8 Ho 3.45-3.46
Sc: 0.4998 0.1710 0.3290  10 Ho 3.39-3.45, 2 Mg 3.49
Ho: 0.5000 0.1621 0.6621  2 Mg 3.40, 4 Sc 3.42-3.45, 6 Ho 3.45-3.46
Ho: 0.5001 0.8317 0.0013  3 Sc 3.39-3.43, 1 Mg 3.40, 8 Ho 3.45-3.46
Mg: 0.0000 0.0000 0.5000  8 Ho 3.40, 4 Sc 3.49
Ho: 0.5000 0.4987 0.6683  3 Sc 3.39-3.43, 1 Mg 3.40, 8 Ho 3.45-3.46
Ho: 0.9999 0.3316 0.4987  3 Sc 3.39-3.43, 1 Mg 3.40, 8 Ho 3.45-3.46
Ho: 0.0001 0.6621 0.8379  2 Mg 3.40, 4 Sc 3.42-3.45, 6 Ho 3.45
Mg: 0.5000 0.5000 0.0000  8 Ho 3.40, 4 Sc 3.49
Ho: 0.9999 0.3379 0.1621  2 Mg 3.40, 4 Sc 3.42-3.45, 6 Ho 3.45
Ho: 0.5000 0.5013 0.3317  3 Sc 3.39-3.43, 1 Mg 3.40, 8 Ho 3.45-3.46
Sc: 0.0001 0.6710 0.1710  10 Ho 3.39-3.45, 2 Mg 3.49
Ho: 0.0001 0.6684 0.5013  3 Sc 3.39-3.43, 1 Mg 3.40, 8 Ho 3.45-3.46
Sc: 0.5002 0.8290 0.6710  10 Ho 3.39-3.45, 2 Mg 3.49
Sc: 0.9999 0.3290 0.8290  10 Ho 3.39-3.45, 2 Mg 3.49
Ho: 0.0000 0.0013 0.1683  3 Sc 3.39-3.43, 1 Mg 3.40, 8 Ho 3.45-3.46
Ho: 0.5000 0.8379 0.3379  2 Mg 3.40, 4 Sc 3.42-3.45, 6 Ho 3.45-3.46
Ho: 0.4999 0.1683 0.9987  3 Sc 3.39-3.43, 1 Mg 3.40, 8 Ho 3.45-3.46

3.
HoMg2Sc2: optimized geometry, PBE-GGA.

Computed properties:
Space-group type: Cmcm, No. 63

Cell: 3.5566 5.2359 13.5194 Å, 90.00 97.55 90.00°
With the nearest neighbours (Å) after each atom.
Atoms (fractional coordinates):
Mg: 0.4490 0.7500 0.8991  6 Sc 3.11-3.17, 2 Ho 3.29
Mg: 0.6402 0.7500 0.2807  4 Sc 3.11-3.16, 4 Ho 3.18-3.19
Ho: 0.1538 0.2500 0.3076  6 Mg 3.18-3.29, 4 Sc 3.41-3.45, 2 Ho 3.56
Mg: 0.5510 0.2500 0.1009  6 Sc 3.11-3.17, 2 Ho 3.29
Ho: 0.8462 0.7500 0.6924  6 Mg 3.18-3.29, 4 Sc 3.41-3.45, 2 Ho 3.56
Mg: 0.3598 0.2500 0.7193  4 Sc 3.11-3.16, 4 Ho 3.18-3.19
Sc: 0.2376 0.7500 0.4755  2 Mg 3.16, 4 Sc 3.23, 4 Ho 3.41-3.45
Sc: 0.0452 0.7500 0.0900  8 Mg 3.11-3.17
Sc: 0.7624 0.2500 0.5245  2 Mg 3.16, 4 Sc 3.23, 4 Ho 3.41-3.45
Sc: 0.9548 0.2500 0.9100  8 Mg 3.11-3.17

4.
HoMg8Sc2: optimized geometry, PBE-GGA.

Computed properties:
Space-group type: Immm, No. 71

Cell: 5.1183 7.6902 8.3107 Å, 117.56 107.93 90.00°
With the nearest neighbours (Å) after each atom.
Atoms (fractional coordinates):
Mg: 0.1544 0.1544 0.3087  8 Mg 3.15-3.48, 2 Sc 3.15, 2 Ho 3.33
Mg: 0.6419 0.8351 0.2838  4 Mg 2.97-3.22, 1 Ho 3.07, 3 Sc 3.10-3.11
Sc: 0.2122 0.7122 0.4245  10 Mg 3.10-3.31
Ho: 0.5000 0.0000 0.0000  8 Mg 3.07-3.33
Sc: 0.7878 0.2878 0.5755  10 Mg 3.10-3.31
Mg: 0.6419 0.4487 0.2838  4 Mg 2.97-3.22, 1 Ho 3.07, 3 Sc 3.10-3.11
Mg: 0.3581 0.1649 0.7162  4 Mg 2.97-3.22, 1 Ho 3.07, 3 Sc 3.10-3.11
Mg: 0.0000 0.3012 0.0000  7 Mg 3.06-3.22, 2 Sc 3.31
Mg: 0.0000 0.6988 0.0000  7 Mg 3.06-3.22, 2 Sc 3.31
Mg: 0.3581 0.5513 0.7162  4 Mg 2.97-3.22, 1 Ho 3.07, 3 Sc 3.10-3.11
Mg: 0.8456 0.8456 0.6913  8 Mg 3.15-3.48, 2 Sc 3.15, 2 Ho 3.33

5.
Ho3Mg12Sc: optimized geometry, PBE-GGA.

Computed properties:
Space-group type: P4/mmm, No. 123

Cell: 4.5892 4.5892 18.7236 Å, 90.00 90.00 90.00°
With the nearest neighbours (Å) after each atom.
Atoms (fractional coordinates):
Sc: 0.0000 0.0000 0.0000  12 Mg 3.21-3.25
Mg: 0.0000 0.5000 0.3729  8 Mg 3.25-3.31, 4 Ho 3.30-3.31
Ho: 0.0000 0.0000 0.7541  12 Mg 3.25-3.30
Mg: 0.5000 0.5000 0.0000  8 Mg 3.21, 4 Sc 3.25
Mg: 0.5000 0.0000 0.1197  8 Mg 3.21-3.30, 2 Sc 3.21, 2 Ho 3.29
Mg: 0.0000 0.5000 0.1197  8 Mg 3.21-3.30, 2 Sc 3.21, 2 Ho 3.29
Mg: 0.0000 0.5000 0.6271  8 Mg 3.25-3.31, 4 Ho 3.30-3.31
Ho: 0.0000 0.0000 0.5000  12 Mg 3.25-3.31
Mg: 0.0000 0.5000 0.8803  8 Mg 3.21-3.30, 2 Sc 3.21, 2 Ho 3.29
Mg: 0.5000 0.0000 0.8803  2 Sc 3.21, 8 Mg 3.21-3.30, 2 Ho 3.29
Mg: 0.5000 0.5000 0.2460  4 Ho 3.25, 8 Mg 3.30
Ho: 0.0000 0.0000 0.2459  12 Mg 3.25-3.30
Mg: 0.5000 0.5000 0.7540  4 Ho 3.25, 8 Mg 3.30
Mg: 0.5000 0.0000 0.6271  8 Mg 3.25-3.31, 4 Ho 3.30-3.31
Mg: 0.5000 0.5000 0.5000  4 Ho 3.25, 8 Mg 3.31
Mg: 0.5000 0.0000 0.3729  8 Mg 3.25-3.31, 4 Ho 3.30-3.31

6.
Ho2MgSc6: optimized geometry, PBE-GGA.

Computed properties:
Space-group type: Immm, No. 71

Cell: 5.3693 5.9500 8.7956 Å, 109.77 107.77 90.00°
With the nearest neighbours (Å) after each atom.
Atoms (fractional coordinates):
Sc: 0.0000 0.2429 0.0000  4 Sc 2.89-3.11, 2 Mg 3.09
Sc: 0.1983 0.4504 0.3966  5 Sc 2.95-3.14
Ho: 0.3936 0.8936 0.7871  1 Ho 3.33, 10 Sc 3.39-3.47, 2 Mg 3.41
Mg: 0.5000 0.5000 0.0000  4 Sc 3.09, 4 Ho 3.41
Sc: 0.1983 0.9461 0.3966  5 Sc 2.95-3.14
Sc: 0.8017 0.0539 0.6034  5 Sc 2.95-3.14
Sc: 0.8017 0.5496 0.6034  5 Sc 2.95-3.14
Ho: 0.6064 0.1064 0.2129  1 Ho 3.33, 10 Sc 3.39-3.47, 2 Mg 3.41
Sc: 0.0000 0.7571 0.0000  4 Sc 2.89-3.11, 2 Mg 3.09

7.
Ho5MgSc2: optimized geometry, PBE-GGA.

Computed properties:
Space-group type: Cmcm, No. 63

Cell: 5.0350 6.0804 16.6449 Å, 90.00 90.00 114.46°
With the nearest neighbours (Å) after each atom.
Atoms (fractional coordinates):
Ho: 0.6485 0.2971 0.5368  3 Sc 3.34-3.38, 8 Ho 3.46-3.59
Ho: 0.9478 0.8956 0.9037  1 Mg 3.05, 1 Sc 3.39, 1 Ho 3.41
Sc: 0.7582 0.5165 0.1528  2 Mg 3.06, 1 Sc 3.23, 4 Ho 3.34-3.39
Ho: 0.3515 0.7029 0.0368  3 Sc 3.34-3.38, 8 Ho 3.46-3.59
Ho: 0.3515 0.7029 0.4632  3 Sc 3.34-3.38, 8 Ho 3.46-3.59
Mg: 0.7978 0.5956 0.7500  3 Ho 3.05-3.10, 4 Sc 3.06
Ho: 0.0522 0.1044 0.0963  1 Mg 3.05, 1 Sc 3.39, 1 Ho 3.41
Ho: 0.9478 0.8956 0.5963  1 Mg 3.05, 1 Sc 3.39, 1 Ho 3.41
Ho: 0.4824 0.9648 0.2500  1 Mg 3.10, 2 Sc 3.46
Sc: 0.2418 0.4835 0.8472  2 Mg 3.06, 1 Sc 3.23, 4 Ho 3.34-3.39
Ho: 0.5176 0.0352 0.7500  1 Mg 3.10, 2 Sc 3.46
Ho: 0.0522 0.1044 0.4037  1 Mg 3.05, 1 Sc 3.39, 1 Ho 3.41
Ho: 0.6485 0.2971 0.9632  3 Sc 3.34-3.38, 8 Ho 3.46-3.59
Mg: 0.2022 0.4044 0.2500  3 Ho 3.05-3.10, 4 Sc 3.06
Sc: 0.2418 0.4835 0.6528  2 Mg 3.06, 1 Sc 3.23, 4 Ho 3.34-3.39
Sc: 0.7582 0.5165 0.3472  2 Mg 3.06, 1 Sc 3.23, 4 Ho 3.34-3.39

8.
HoMgSc: optimized geometry, PBE-GGA.

Computed properties:
Space-group type: P2_1, No. 4

Cell: 3.3564 3.3602 14.3084 Å, 90.00 76.43 90.01°
With the nearest neighbours (Å) after each atom.
Atoms (fractional coordinates):
Mg: 0.8003 0.7928 0.3297  8 Mg 3.13-3.36, 4 Ho 3.38
Sc: 0.4533 0.7900 0.6754  8 Sc 3.27-3.36, 4 Ho 3.38
Ho: 0.1274 0.2909 0.5026  4 Ho 3.36, 4 Mg 3.38, 4 Sc 3.38
Mg: 0.4453 0.2925 0.1827  8 Mg 3.13-3.36, 4 Ho 3.38-3.39
Sc: 0.7909 0.2899 0.8368  8 Sc 3.27-3.36, 4 Ho 3.38
Ho: 0.1173 0.7907 0.0097  4 Ho 3.36, 4 Mg 3.38-3.39, 4 Sc 3.38

9.
Ho3Mg5Sc3: optimized geometry, PBE-GGA.

Computed properties:
Space-group type: P-62m, No. 189

Cell: 5.3994 8.9456 8.9456 Å, 120.00 90.00 90.00°
With the nearest neighbours (Å) after each atom.
Atoms (fractional coordinates):
Ho: 0.0000 0.0000 0.2232  2 Sc 3.22, 4 Mg 3.35, 2 Ho 3.46
Sc: 0.5000 0.0000 0.4187  2 Mg 2.68
Mg: 0.5000 0.0000 0.7807  3 Sc 3.24, 4 Ho 3.35, 4 Mg 3.40-3.60
Sc: 0.5000 0.5813 0.5813  2 Mg 2.68
Ho: 0.0000 0.2232 0.0000  2 Sc 3.22, 4 Mg 3.35, 2 Ho 3.46
Sc: 0.5000 0.4187 0.0000  2 Mg 2.68
Mg: 0.5000 0.2193 0.2193  3 Sc 3.24, 4 Ho 3.35, 4 Mg 3.40-3.60
Ho: 0.0000 0.7768 0.7768  2 Sc 3.22, 4 Mg 3.35, 2 Ho 3.46
Mg: 0.5000 0.3333 0.6667  3 Sc 2.68
Mg: 0.5000 0.6667 0.3333  3 Sc 2.68
Mg: 0.5000 0.7807 0.0000  3 Sc 3.24, 4 Ho 3.35, 4 Mg 3.40-3.60

10.
Ho3MgSc2: optimized geometry, PBE-GGA.

Computed properties:
Space-group type: P4/mmm, No. 123

Cell: 3.4728 3.4728 13.7063 Å, 90.00 90.00 90.00°
With the nearest neighbours (Å) after each atom.
Atoms (fractional coordinates):
Mg: 0.5000 0.5000 0.5000  8 Ho 3.35, 4 Mg 3.47
Ho: 0.0000 0.0000 0.0000  8 Sc 3.37, 4 Ho 3.47
Sc: 0.5000 0.5000 0.8320  8 Ho 3.35-3.37, 4 Sc 3.47
Ho: 0.0000 0.0000 0.3339  4 Sc 3.35, 4 Mg 3.35, 4 Ho 3.47
Ho: 0.0000 0.0000 0.6661  4 Sc 3.35, 4 Mg 3.35, 4 Ho 3.47
Sc: 0.5000 0.5000 0.1680  8 Ho 3.35-3.37, 4 Sc 3.47

11.
HoMgSc5: optimized geometry, PBE-GGA.

Computed properties:
Space-group type: C2/c, No. 15

Cell: 8.5037 8.5037 12.4210 Å, 42.04 42.04 41.35°
With the nearest neighbours (Å) after each atom.
Atoms (fractional coordinates):
Sc: 0.2564 0.2773 0.5740  2 Mg 2.94-3.25, 4 Sc 2.99-3.26, 1 Ho 3.22
Sc: 0.7436 0.7227 0.4260  2 Mg 2.94-3.25, 4 Sc 2.99-3.26, 1 Ho 3.22
Ho: 0.0000 0.0000 0.0000  10 Sc 3.22-3.51, 2 Mg 3.45
Sc: 0.3426 0.3395 0.7384  1 Mg 3.04, 5 Sc 3.07-3.39
Ho: 0.0000 0.0000 0.5000  10 Sc 3.22-3.51, 2 Mg 3.45
Mg: 0.2521 0.7479 0.7500  5 Sc 2.82-3.04
Mg: 0.7479 0.2521 0.2500  5 Sc 2.82-3.04
Sc: 0.3395 0.3426 0.2384  1 Mg 3.04, 5 Sc 3.07-3.39
Sc: 0.6605 0.6574 0.7616  1 Mg 3.04, 5 Sc 3.07-3.39
Sc: 0.2172 0.7828 0.2500  1 Mg 2.82, 6 Sc 2.99-3.14
Sc: 0.7828 0.2172 0.7500  1 Mg 2.82, 6 Sc 2.99-3.14
Sc: 0.6574 0.6605 0.2616  1 Mg 3.04, 5 Sc 3.07-3.39
Sc: 0.2773 0.2564 0.0740  2 Mg 2.94-3.25, 4 Sc 2.99-3.26, 1 Ho 3.22
Sc: 0.7227 0.7436 0.9260  2 Mg 2.94-3.25, 4 Sc 2.99-3.26, 1 Ho 3.22

12.
Ho2Mg6Sc: optimized geometry, PBE-GGA.

Computed properties:
Space-group type: C2/m, No. 12

Cell: 3.2224 8.9828 9.5274 Å, 118.13 109.69 90.00°
With the nearest neighbours (Å) after each atom.
Atoms (fractional coordinates):
Mg: 0.5000 0.3281 0.0000  5 Mg 2.95-3.22
Mg: 0.1695 0.6715 0.6713  5 Mg 2.95-3.22
Mg: 0.5000 0.6719 0.0000  5 Mg 2.95-3.22
Sc: 0.0000 0.0000 0.0000  2 Sc 3.22, 12 Mg 3.35-3.36
Mg: 0.8305 0.0002 0.3287  5 Mg 2.95-3.22
Ho: 0.6672 0.3336 0.6673  2 Ho 3.22, 12 Mg 3.41-3.42
Ho: 0.3328 0.6664 0.3327  2 Ho 3.22, 12 Mg 3.41-3.42
Mg: 0.8305 0.3285 0.3287  5 Mg 2.95-3.22
Mg: 0.1695 0.9998 0.6713  5 Mg 2.95-3.22

Number 1: M_tot 0.00 Bohr magnetons per cell, energy of formation from the pure elements 2.80 eV/f.u.. Number 2: M_tot 0.00 Bohr magnetons per cell, energy of formation from the pure elements 0.39 eV/f.u.. Number 3: M_tot 0.00 Bohr magnetons per cell, energy of formation from the pure elements -0.17 eV/f.u.. Number 4: M_tot 0.00 Bohr magnetons per cell, energy of formation from the pure elements 0.86 eV/f.u.. Number 5: M_tot 0.00 Bohr magnetons per cell, energy of formation from the pure elements -0.81 eV/f.u.. Number 6: M_tot 0.14 Bohr magnetons per cell, energy of formation from the pure elements 3.25 eV/f.u.. Number 7: M_tot 0.00 Bohr magnetons per cell, energy of formation from the pure elements 0.75 eV/f.u.. Number 8: M_tot 0.00 Bohr magnetons per cell, energy of formation from the pure elements -0.04 eV/f.u.. Number 9: M_tot 0.02 Bohr magnetons per cell, energy of formation from the pure elements 8.94 eV/f.u.. Number 10: M_tot 0.00 Bohr magnetons per cell, energy of formation from the pure elements 0.05 eV/f.u.. Number 11: M_tot 0.00 Bohr magnetons per cell, energy of formation from the pure elements 1.16 eV/f.u.. Number 12: M_tot 0.00 Bohr magnetons per cell, energy of formation from the pure elements -0.39 eV/f.u..